[1]
SnTe2Mo2 | PBE | relaxed

Results
Space group: I4/mmm, No. 139
VASP energy in eV for the cell shown: -29.95

a b c (Å): 5.742 5.742 5.742
angles (deg): 125.76 125.76 80.28
Atoms (fractional coordinates):
Te 0.250 0.750 0.500
Mo 0.373 0.373 0.000
Sn 0.000 0.000 0.000
Te 0.750 0.250 0.500
Mo 0.627 0.627 0.000

=====

[2]
TlSn2Mo | PBE | relaxed

Results
Space group: F-43m, No. 216
VASP energy in eV for the cell shown: -18.24

a b c (Å): 5.137 5.137 5.137
angles (deg): 60.00 60.00 60.00
Atoms (fractional coordinates):
Tl 0.000 0.000 0.000
Sn 0.500 0.500 0.500
Mo 0.750 0.750 0.750
Sn 0.250 0.250 0.250

=====

[3]
Tl2SnMo | PBE | relaxed

Results
Space group: F-43m, No. 216
VASP energy in eV for the cell shown: -16.43

a b c (Å): 5.188 5.188 5.188
angles (deg): 60.00 60.00 60.00
Atoms (fractional coordinates):
Mo 0.500 0.500 0.500
Tl 0.000 0.000 0.000
Tl 0.250 0.250 0.250
Sn 0.750 0.750 0.750

=====

[4]
TmSnMo | PBE | relaxed

Results
Space group: F-43m, No. 216
Distance to the lowest polymorph of the same formula in kJ per mole of atoms: 0.00

a b c (Å): 4.715 4.715 4.715
angles (deg): 60.00 60.00 60.00
Atoms (fractional coordinates):
Mo 0.000 0.000 0.000
Tm 0.750 0.750 0.750
Sn 0.250 0.250 0.250

=====

[5]
TmSnMo | PBE | relaxed

Results
Space group: F-43m, No. 216
Distance to the lowest polymorph of the same formula in kJ per mole of atoms: 51.55

a b c (Å): 4.880 4.880 4.880
angles (deg): 60.00 60.00 60.00
Atoms (fractional coordinates):
Sn 0.750 0.750 0.750
Tm 0.000 0.000 0.000
Mo 0.250 0.250 0.250

=====

[6]
USnMo | PBE | relaxed

Results
Space group: F-43m, No. 216
VASP energy in eV for the cell shown: -22.44

a b c (Å): 4.749 4.749 4.749
angles (deg): 60.00 60.00 60.00
Atoms (fractional coordinates):
U 0.000 0.000 0.000
Mo 0.250 0.250 0.250
Sn 0.750 0.750 0.750

=====

[7]
Sn2MoW | PBE | relaxed

Results
Space group: F-43m, No. 216
VASP energy in eV for the cell shown: -29.21

a b c (Å): 4.765 4.765 4.765
angles (deg): 60.00 60.00 60.00
Atoms (fractional coordinates):
Mo 0.500 0.500 0.500
W 0.750 0.750 0.750
Sn 0.000 0.000 0.000
Sn 0.250 0.250 0.250

=====

[8]
SnMo2W | PBE | relaxed

Results
Space group: F-43m, No. 216
VASP energy in eV for the cell shown: -37.08

a b c (Å): 4.583 4.583 4.583
angles (deg): 60.00 60.00 60.00
Atoms (fractional coordinates):
Mo 0.000 0.000 0.000
Mo 0.750 0.750 0.750
Sn 0.500 0.500 0.500
W 0.250 0.250 0.250

=====

[9]
YSnMo | PBE | relaxed

Results
Space group: F-43m, No. 216
Distance to the lowest polymorph of the same formula in kJ per mole of atoms: 0.00

a b c (Å): 4.754 4.754 4.754
angles (deg): 60.00 60.00 60.00
Atoms (fractional coordinates):
Mo 0.500 0.500 0.500
Y 0.000 0.000 0.000
Sn 0.250 0.250 0.250

=====

[10]
YSnMo | PBE | relaxed

Results
Space group: F-43m, No. 216
Distance to the lowest polymorph of the same formula in kJ per mole of atoms: 58.02

a b c (Å): 4.942 4.942 4.942
angles (deg): 60.00 60.00 60.00
Atoms (fractional coordinates):
Sn 0.000 0.000 0.000
Mo 0.500 0.500 0.500
Y 0.250 0.250 0.250

=====

[11]
YSnMo2 | PBE | relaxed

Results
Space group: F-43m, No. 216
VASP energy in eV for the cell shown: -31.46

a b c (Å): 4.802 4.802 4.802
angles (deg): 60.00 60.00 60.00
Atoms (fractional coordinates):
Mo 0.750 0.750 0.750
Mo 0.000 0.000 0.000
Y 0.250 0.250 0.250
Sn 0.500 0.500 0.500

=====

[12]
ZnSnMo | PBE | relaxed

Results
Space group: F-43m, No. 216
VASP energy in eV for the cell shown: -13.76

a b c (Å): 4.468 4.468 4.468
angles (deg): 60.00 60.00 60.00
Atoms (fractional coordinates):
Sn 0.250 0.250 0.250
Mo 0.500 0.500 0.500
Zn 0.000 0.000 0.000

=====

[13]
ZnSn2Mo | PBE | relaxed

Results
Space group: F-43m, No. 216
VASP energy in eV for the cell shown: -17.40

a b c (Å): 4.852 4.852 4.852
angles (deg): 60.00 60.00 60.00
Atoms (fractional coordinates):
Sn 0.000 0.000 0.000
Zn 0.500 0.500 0.500
Mo 0.750 0.750 0.750
Sn 0.250 0.250 0.250

=====

[14]
Zn2SnMo | PBE | relaxed

Results
Space group: F-43m, No. 216
VASP energy in eV for the cell shown: -15.47

a b c (Å): 4.592 4.592 4.592
angles (deg): 60.00 60.00 60.00
Atoms (fractional coordinates):
Zn 0.750 0.750 0.750
Sn 0.500 0.500 0.500
Mo 0.250 0.250 0.250
Zn 0.000 0.000 0.000

=====

[15]
Zr2SnMo | PBE | relaxed

Results
Space group: F-43m, No. 216
VASP energy in eV for the cell shown: -32.27

a b c (Å): 4.832 4.832 4.832
angles (deg): 60.00 60.00 60.00
Atoms (fractional coordinates):
Zr 0.000 0.000 0.000
Mo 0.250 0.250 0.250
Zr 0.750 0.750 0.750
Sn 0.500 0.500 0.500

=====

[16]
SrMo2 | PBE | relaxed

Results
Space group: Fd-3m, No. 227
Distance to the lowest polymorph of the same formula in kJ per mole of atoms: 0.00

a b c (Å): 5.663 5.663 5.663
angles (deg): 60.00 60.00 60.00
Atoms (fractional coordinates):
Mo 0.125 0.625 0.625
Sr 0.000 0.000 0.000
Mo 0.625 0.625 0.625
Mo 0.625 0.625 0.125
Sr 0.250 0.250 0.250
Mo 0.625 0.125 0.625

=====

[17]
SrMo2 | PBE | relaxed

Results
Space group: Fm-3m, No. 225
Distance to the lowest polymorph of the same formula in kJ per mole of atoms: 186.06

a b c (Å): 4.594 4.594 4.594
angles (deg): 60.00 60.00 60.00
Atoms (fractional coordinates):
Sr 0.000 0.000 0.000
Mo 0.250 0.250 0.250
Mo 0.750 0.750 0.750

=====

[18]
SrMo | PBE | relaxed

Results
Space group: Fm-3m, No. 225
Distance to the lowest polymorph of the same formula in kJ per mole of atoms: 51.88

a b c (Å): 4.600 4.600 4.600
angles (deg): 60.00 60.00 60.00
Atoms (fractional coordinates):
Sr 0.500 0.500 0.500
Mo 0.000 0.000 0.000

=====

[19]
SrMo | PBE | relaxed

Results
Space group: F-43m, No. 216
Distance to the lowest polymorph of the same formula in kJ per mole of atoms: 113.95

a b c (Å): 5.155 5.155 5.155
angles (deg): 60.00 60.00 60.00
Atoms (fractional coordinates):
Sr 0.250 0.250 0.250
Mo 0.000 0.000 0.000

=====

[20]
Sr2TcMo | PBE | relaxed

Results
Space group: F-43m, No. 216
VASP energy in eV for the cell shown: -20.09

a b c (Å): 5.062 5.062 5.062
angles (deg): 60.00 60.00 60.00
Atoms (fractional coordinates):
Sr 0.250 0.250 0.250
Mo 0.750 0.750 0.750
Tc 0.000 0.000 0.000
Sr 0.500 0.500 0.500

=====

[21]
SrTeMo | PBE | relaxed

Results
Space group: F-43m, No. 216
Distance to the lowest polymorph of the same formula in kJ per mole of atoms: 0.00

a b c (Å): 5.073 5.073 5.073
angles (deg): 60.00 60.00 60.00
Atoms (fractional coordinates):
Mo 0.250 0.250 0.250
Te 0.000 0.000 0.000
Sr 0.750 0.750 0.750

=====

[22]
SrThMo | PBE | relaxed

Results
Space group: F-43m, No. 216
Distance to the lowest polymorph of the same formula in kJ per mole of atoms: 0.00

a b c (Å): 5.028 5.028 5.028
angles (deg): 60.00 60.00 60.00
Atoms (fractional coordinates):
Mo 0.000 0.000 0.000
Th 0.750 0.750 0.750
Sr 0.250 0.250 0.250

=====

[23]
SrTl4Mo2 | PBE | relaxed

Results
Space group: I4/mmm, No. 139
VASP energy in eV for the cell shown: -25.86

a b c (Å): 8.240 8.240 8.240
angles (deg): 138.68 138.68 59.87
Atoms (fractional coordinates):
Tl 0.000 0.500 0.500
Mo 0.574 0.574 0.000
Tl 0.500 0.000 0.500
Sr 0.000 0.000 0.000
Tl 0.224 0.224 0.000
Mo 0.426 0.426 0.000
Tl 0.776 0.776 0.000

=====

[24]
SrTmMo | PBE | relaxed

Results
Space group: F-43m, No. 216
VASP energy in eV for the cell shown: -12.67

a b c (Å): 5.149 5.149 5.149
angles (deg): 60.00 60.00 60.00
Atoms (fractional coordinates):
Tm 0.000 0.000 0.000
Sr 0.750 0.750 0.750
Mo 0.250 0.250 0.250

=====

[25]
SrUMo | PBE | relaxed

Results
Space group: F-43m, No. 216
Distance to the lowest polymorph of the same formula in kJ per mole of atoms: 0.00

a b c (Å): 4.848 4.848 4.848
angles (deg): 60.00 60.00 60.00
Atoms (fractional coordinates):
Sr 0.250 0.250 0.250
Mo 0.000 0.000 0.000
U 0.750 0.750 0.750

=====

[26]
Sr2MoW | PBE | relaxed

Results
Space group: F-43m, No. 216
VASP energy in eV for the cell shown: -21.98

a b c (Å): 5.090 5.090 5.090
angles (deg): 60.00 60.00 60.00
Atoms (fractional coordinates):
Sr 0.500 0.500 0.500
Mo 0.750 0.750 0.750
W 0.000 0.000 0.000
Sr 0.250 0.250 0.250

=====

[27]
SrZr2Mo | PBE | relaxed

Results
Space group: F-43m, No. 216
VASP energy in eV for the cell shown: -26.47

a b c (Å): 5.106 5.106 5.106
angles (deg): 60.00 60.00 60.00
Atoms (fractional coordinates):
Sr 0.000 0.000 0.000
Zr 0.500 0.500 0.500
Mo 0.750 0.750 0.750
Zr 0.250 0.250 0.250

=====

[28]
Ta2Mo | PBE | relaxed

Results
Space group: P6_3/mmc, No. 194
Distance to the lowest polymorph of the same formula in kJ per mole of atoms: 2.22
Energy relative to the elements in eV per atom: 0.411

a b c (Å): 5.389 5.389 8.692
angles (deg): 90.00 90.00 120.00
Atoms (fractional coordinates):
Ta 0.659 0.829 0.750
Mo 0.333 0.667 0.056
Mo 0.667 0.333 0.944
Ta 0.341 0.171 0.250
Ta 0.171 0.829 0.750
Ta 0.171 0.341 0.750
Mo 0.333 0.667 0.444
Ta 0.000 0.000 0.000
Mo 0.667 0.333 0.556
Ta 0.829 0.171 0.250
Ta 0.000 0.000 0.500
Ta 0.829 0.659 0.250

=====

[29]
Ta2Mo | PBE | relaxed

Results
Space group: P6_3/mmc, No. 194
Distance to the lowest polymorph of the same formula in kJ per mole of atoms: 1.12
Energy relative to the elements in eV per atom: 0.400

a b c (Å): 5.371 5.371 17.471
angles (deg): 90.00 90.00 120.00
Atoms (fractional coordinates):
Ta 0.333 0.667 0.376
Mo 0.667 0.333 0.156
Ta 0.333 0.667 0.124
Ta 0.500 0.500 0.000
Ta 0.163 0.326 0.250
Mo 0.000 0.000 0.405
Mo 0.667 0.333 0.344
Mo 0.000 0.000 0.095
Ta 0.500 0.000 0.500
Ta 0.000 0.500 0.500
Ta 0.837 0.674 0.750
Ta 0.667 0.333 0.876
Ta 0.500 0.000 0.000
Mo 0.000 0.000 0.595
Ta 0.326 0.163 0.750
Ta 0.163 0.837 0.250
Mo 0.000 0.000 0.905
Ta 0.667 0.333 0.624
Ta 0.500 0.500 0.500
Ta 0.674 0.837 0.250
Ta 0.837 0.163 0.750
Ta 0.000 0.500 0.000
Mo 0.333 0.667 0.656
Mo 0.333 0.667 0.844

=====

| no. | volume (Å³ per cell) | M_tot (Bohr magnetons per cell) |
| --- | --- | --- |
| 1 | 120.3 | 0.4 |
| 2 | 95.8 | 2.9 |
| 3 | 98.7 | 3.0 |
| 4 | 74.1 | 0.8 |
| 5 | 82.2 | 3.0 |
| 6 | 75.7 | 1.8 |
| 7 | 76.5 | 0.0 |
| 8 | 68.1 | 0.0 |
| 9 | 76.0 | 0.3 |
| 10 | 85.3 | 3.4 |
| 11 | 78.3 | 0.0 |
| 12 | 63.1 | 1.7 |
| 13 | 80.8 | 1.6 |
| 14 | 68.5 | 0.0 |
| 15 | 79.8 | 0.0 |
| 16 | 128.4 | 0.0 |
| 17 | 68.6 | 0.0 |
| 18 | 68.8 | 4.0 |
| 19 | 96.9 | 4.3 |
| 20 | 91.7 | 0.0 |
| 21 | 92.3 | 3.8 |
| 22 | 89.9 | 0.0 |
| 23 | 241.5 | 0.7 |
| 24 | 96.5 | 2.8 |
| 25 | 80.6 | 1.8 |
| 26 | 93.2 | 0.0 |
| 27 | 94.1 | 0.9 |
| 28 | 218.6 | 0.0 |
| 29 | 436.4 | 0.0 |